VASP calculation (PBE) on a relaxed Li2ErCd crystal.

Computed properties:
As for the space group: P4/mmm, No. 123. As for the energy above the lowest structure with this stoichiometry: 73 meV per atom. As for the energy of formation from the pure elements: 0.011 eV/atom. The calculation puts the calculated total energy at -9.26 eV for the cell shown.

Cell lengths 4.4669, 4.4669, 4.6459 Å; angles 90.00, 90.00, 90.00 degrees
Fractional positions:
Li 0.0000 0.5000 0.0000
Li 0.5000 0.0000 0.0000
Er 0.0000 0.0000 0.5000
Cd 0.5000 0.5000 0.5000



VASP calculation (PBE) on a relaxed LiEr2Cd crystal.

Computed properties:
As for the space group: R-3m, No. 166. As for the energy above the lowest structure with this stoichiometry: 243 meV per atom. As for the energy of formation from the pure elements: 0.127 eV/atom. The calculation puts the calculated total energy at -11.45 eV for the cell shown.

Cell lengths 11.6606, 11.6606, 11.6606 Å; angles 16.70, 16.70, 16.70 degrees
Fractional positions:
Li 0.0000 0.0000 0.0000
Er 0.0928 0.0928 0.0928
Er 0.9072 0.9072 0.9072
Cd 0.5000 0.5000 0.5000



VASP calculation (PBE) on a relaxed Li2ErCd5 crystal.

Computed properties:
As for the space group: I4/mmm, No. 139. As for the energy of formation from the pure elements: -0.230 eV/atom. The calculation puts the calculated total energy at -14.81 eV for the cell shown.

Cell lengths 8.1134, 8.1134, 8.1134 Å; angles 145.86, 145.86, 49.06 degrees
Fractional positions:
Li 0.2495 0.2495 0.0000
Li 0.7505 0.7505 0.0000
Er 0.5000 0.5000 0.0000
Cd 0.0000 0.0000 0.0000
Cd 0.1416 0.6416 0.5000
Cd 0.3584 0.8584 0.5000
Cd 0.6416 0.1416 0.5000
Cd 0.8584 0.3584 0.5000